1.
Computed, not measured: a relaxed Tb2PmPd2 crystal at the PBE-GGA level of DFT.

Cell: 8.5759 4.9580 6.1548 Å, 90.00 90.13 90.00°
Closest atoms and distances in Å follow each position.
Atoms (fractional coordinates):
Tb  0.1668  0.0000  0.3352  5 Pd 2.93-3.23
Tb  0.3332  0.5000  0.6648  5 Pd 2.93-3.23
Tb  0.6668  0.5000  0.3352  5 Pd 2.93-3.23
Tb  0.8332  0.0000  0.6648  5 Pd 2.93-3.23
Pm  0.0000  0.5000  0.0000  6 Pd 3.08-3.09
Pm  0.5000  0.0000  0.0000  6 Pd 3.08-3.09
Pd  0.1667  0.0000  0.8111  5 Tb 2.93-3.23, 3 Pm 3.08-3.09
Pd  0.3333  0.5000  0.1889  5 Tb 2.93-3.23, 3 Pm 3.08-3.09
Pd  0.6667  0.5000  0.8111  5 Tb 2.93-3.23, 3 Pm 3.08-3.09
Pd  0.8333  0.0000  0.1889  5 Tb 2.93-3.23, 3 Pm 3.08-3.09

- space group = C2/m
- magnetic moment (μB/cell) = 0.00
- energy above the most stable polymorph in this dataset (meV/atom) = 74.6
- calculated formation energy (eV per formula unit) = -3.1

=====

2.
Computed, not measured: a relaxed TbPm4Pd5 crystal at the PBE-GGA level of DFT.

Cell: 3.5443 3.5443 18.3008 Å, 90.00 90.00 90.00°
Closest atoms and distances in Å follow each position.
Atoms (fractional coordinates):
Tb  0.0000  0.0000  0.0000  8 Pd 3.04
Pm  0.0000  0.0000  0.1972  8 Pd 3.11-3.14
Pm  0.0000  0.0000  0.3991  8 Pd 3.11
Pm  0.0000  0.0000  0.6009  8 Pd 3.11
Pm  0.0000  0.0000  0.8028  8 Pd 3.11-3.14
Pd  0.5000  0.5000  0.0939  4 Tb 3.04, 4 Pm 3.14
Pd  0.5000  0.5000  0.2981  8 Pm 3.11
Pd  0.5000  0.5000  0.5000  8 Pm 3.11
Pd  0.5000  0.5000  0.7019  8 Pm 3.11
Pd  0.5000  0.5000  0.9061  4 Tb 3.04, 4 Pm 3.14

- space group = P4/mmm
- magnetic moment (μB/cell) = 0.00
- calculated formation energy (eV per formula unit) = -7.8

=====

3.
Computed, not measured: a relaxed Tb4PmPd2 crystal at the PBE-GGA level of DFT.

Cell: 15.3339 15.3339 15.3339 Å, 14.91 14.91 14.91°
Closest atoms and distances in Å follow each position.
Atoms (fractional coordinates):
Tb  0.1038  0.1038  0.1038  3 Pd 2.83
Tb  0.3021  0.3021  0.3021  3 Pd 2.83
Tb  0.6979  0.6979  0.6979  3 Pd 2.83
Tb  0.8962  0.8962  0.8962  3 Pd 2.83
Pm  0.5000  0.5000  0.5000  6 Tb 3.67, 6 Pm 3.98
Pd  0.4008  0.4008  0.4008  6 Tb 2.83
Pd  0.5992  0.5992  0.5992  6 Tb 2.83

- space group = R-3m
- magnetic moment (μB/cell) = 0.00
- energy above the most stable polymorph in this dataset (meV/atom) = 56.9
- calculated formation energy (eV per formula unit) = -2.5

=====

4.
Computed, not measured: a relaxed TbPm4Pd4 crystal at the PBE-GGA level of DFT.

Cell: 9.0200 9.0200 5.9888 Å, 90.00 90.00 90.00°
Closest atoms and distances in Å follow each position.
Atoms (fractional coordinates):
Tb  0.2500  0.2500  0.2500  4 Pd 2.79
Tb  0.7500  0.7500  0.7500  4 Pd 2.79
Pm  0.0604  0.6624  0.1567  5 Pd 2.87-3.07
Pm  0.1624  0.9396  0.6567  5 Pd 2.87-3.07
Pm  0.3376  0.5604  0.6567  5 Pd 2.87-3.07
Pm  0.4396  0.8376  0.1567  5 Pd 2.87-3.07
Pm  0.5604  0.1624  0.8433  5 Pd 2.87-3.07
Pm  0.6624  0.4396  0.3433  5 Pd 2.87-3.07
Pm  0.8376  0.0604  0.3433  5 Pd 2.87-3.07
Pm  0.9396  0.3376  0.8433  5 Pd 2.87-3.07
Pd  0.0277  0.6309  0.6492  1 Tb 2.79, 5 Pm 2.87-3.07, 1 Pd 3.00
Pd  0.1309  0.9723  0.1492  1 Tb 2.79, 5 Pm 2.87-3.07, 1 Pd 3.00
Pd  0.3691  0.5277  0.1492  1 Tb 2.79, 5 Pm 2.87-3.07, 1 Pd 3.00
Pd  0.4723  0.8691  0.6492  1 Tb 2.79, 5 Pm 2.87-3.07, 1 Pd 3.00
Pd  0.5277  0.1309  0.3508  1 Tb 2.79, 5 Pm 2.87-3.07, 1 Pd 3.00
Pd  0.6309  0.4723  0.8508  1 Tb 2.79, 5 Pm 2.87-3.07, 1 Pd 3.00
Pd  0.8691  0.0277  0.8508  1 Tb 2.79, 5 Pm 2.87-3.07, 1 Pd 3.00
Pd  0.9723  0.3691  0.3508  1 Tb 2.79, 5 Pm 2.87-3.07, 1 Pd 3.00

- space group = P4_2/n
- magnetic moment (μB/cell) = 0.00
- calculated formation energy (eV per formula unit) = -5.5